(1)
# ScNiHPt2, optimized geometry, DFT PBE-GGA
# Crystal system: tetragonal
# DFT total energy (eV for the cell shown): -30.902
data_ScNiHPt2
_chemical_formula_sum 'Sc1 Ni1 H1 Pt2'
_space_group_name_H-M_alt 'P 4/m m m'
_space_group_IT_number 123
_space_group_name_Hall '-P 4 2'
_cell_length_a 4.0369
_cell_length_b 4.0369
_cell_length_c 3.8723
_cell_angle_alpha 90.00
_cell_angle_beta 90.00
_cell_angle_gamma 90.00
loop_
_atom_site_label
_atom_site_fract_x
_atom_site_fract_y
_atom_site_fract_z
_atom_site_occupancy
Sc1 0.0000 0.0000 0.0000 1
Ni1 0.5000 0.5000 0.0000 1
H1 0.5000 0.5000 0.5000 1
Pt1 0.0000 0.5000 0.5000 1

(2)
# ScNi2HPt, optimized geometry, DFT PBE-GGA
# Crystal system: tetragonal
# DFT total energy (eV for the cell shown): -30.102
data_ScNi2HPt
_chemical_formula_sum 'Sc1 Ni2 H1 Pt1'
_space_group_name_H-M_alt 'P 4/m m m'
_space_group_IT_number 123
_space_group_name_Hall '-P 4 2'
_cell_length_a 3.7260
_cell_length_b 3.7260
_cell_length_c 4.0460
_cell_angle_alpha 90.00
_cell_angle_beta 90.00
_cell_angle_gamma 90.00
loop_
_atom_site_label
_atom_site_fract_x
_atom_site_fract_y
_atom_site_fract_z
_atom_site_occupancy
Sc1 0.0000 0.0000 0.0000 1
Ni1 0.0000 0.5000 0.5000 1
H1 0.0000 0.0000 0.5000 1
Pt1 0.5000 0.5000 0.0000 1

(3)
# SiNi2HPt, optimized geometry, DFT PBE-GGA
# Crystal system: tetragonal
# DFT total energy (eV for the cell shown): -27.596
data_SiNi2HPt
_chemical_formula_sum 'Si1 Ni2 H1 Pt1'
_space_group_name_H-M_alt 'P 4/m m m'
_space_group_IT_number 123
_space_group_name_Hall '-P 4 2'
_cell_length_a 3.6749
_cell_length_b 3.6749
_cell_length_c 3.8494
_cell_angle_alpha 90.00
_cell_angle_beta 90.00
_cell_angle_gamma 90.00
loop_
_atom_site_label
_atom_site_fract_x
_atom_site_fract_y
_atom_site_fract_z
_atom_site_occupancy
Si1 0.0000 0.0000 0.0000 1
Ni1 0.0000 0.5000 0.5000 1
H1 0.5000 0.5000 0.5000 1
Pt1 0.5000 0.5000 0.0000 1

(4)
# Ni2SnHPt, optimized geometry, DFT PBE-GGA
# Crystal system: tetragonal
# DFT total energy (eV for the cell shown): -25.928
data_Ni2SnHPt
_chemical_formula_sum 'Ni2 Sn1 H1 Pt1'
_space_group_name_H-M_alt 'P 4/m m m'
_space_group_IT_number 123
_space_group_name_Hall '-P 4 2'
_cell_length_a 3.9585
_cell_length_b 3.9585
_cell_length_c 3.8261
_cell_angle_alpha 90.00
_cell_angle_beta 90.00
_cell_angle_gamma 90.00
loop_
_atom_site_label
_atom_site_fract_x
_atom_site_fract_y
_atom_site_fract_z
_atom_site_occupancy
Ni1 0.0000 0.5000 0.0000 1
Sn1 0.0000 0.0000 0.5000 1
H1 0.5000 0.5000 0.0000 1
Pt1 0.5000 0.5000 0.5000 1

- What is the DFT total energy in the second record?
  -30.102 eV for the cell shown

Copy entry 1 word for word.
# ScNiHPt2, optimized geometry, DFT PBE-GGA
# Crystal system: tetragonal
# DFT total energy (eV for the cell shown): -30.902
data_ScNiHPt2
_chemical_formula_sum 'Sc1 Ni1 H1 Pt2'
_space_group_name_H-M_alt 'P 4/m m m'
_space_group_IT_number 123
_space_group_name_Hall '-P 4 2'
_cell_length_a 4.0369
_cell_length_b 4.0369
_cell_length_c 3.8723
_cell_angle_alpha 90.00
_cell_angle_beta 90.00
_cell_angle_gamma 90.00
loop_
_atom_site_label
_atom_site_fract_x
_atom_site_fract_y
_atom_site_fract_z
_atom_site_occupancy
Sc1 0.0000 0.0000 0.0000 1
Ni1 0.5000 0.5000 0.0000 1
H1 0.5000 0.5000 0.5000 1
Pt1 0.0000 0.5000 0.5000 1

Repeat the fourth record exactly.
# Ni2SnHPt, optimized geometry, DFT PBE-GGA
# Crystal system: tetragonal
# DFT total energy (eV for the cell shown): -25.928
data_Ni2SnHPt
_chemical_formula_sum 'Ni2 Sn1 H1 Pt1'
_space_group_name_H-M_alt 'P 4/m m m'
_space_group_IT_number 123
_space_group_name_Hall '-P 4 2'
_cell_length_a 3.9585
_cell_length_b 3.9585
_cell_length_c 3.8261
_cell_angle_alpha 90.00
_cell_angle_beta 90.00
_cell_angle_gamma 90.00
loop_
_atom_site_label
_atom_site_fract_x
_atom_site_fract_y
_atom_site_fract_z
_atom_site_occupancy
Ni1 0.0000 0.5000 0.0000 1
Sn1 0.0000 0.0000 0.5000 1
H1 0.5000 0.5000 0.0000 1
Pt1 0.5000 0.5000 0.5000 1

- Look up the DFT total energy of the fourth one.
  -25.928 eV for the cell shown